Below is a relaxed KLaCdI2 crystal, with properties calculated at the PBE level.

```
KLaCdI2
1.0
6.371 0.000 0.000
0.000 6.371 0.000
0.000 0.000 5.919
K La Cd I
1 1 1 2
Cartesian
0.000 0.000 0.000 K
3.186 3.186 0.000 La
0.000 0.000 2.959 Cd
0.000 3.186 2.959 I
3.186 0.000 2.959 I
```

Properties
space-group type = P4/mmm
E = -1.94 eV/atom
energy relative to the elements, uncorrected = 64 meV per atom